Ba2Ac4As3O2: optimized geometry, PBE.

a b c (Å): 13.5004 13.5004 13.5004
angles (deg): 158.42 158.42 30.70
Sites, in units of the cell vectors:
Ba: 0.2014 0.2014 0.0000
Ba: 0.7986 0.7986 0.0000
Ac: 0.0788 0.5788 0.5000
Ac: 0.4212 0.9212 0.5000
Ac: 0.5788 0.0788 0.5000
Ac: 0.9212 0.4212 0.5000
As: 0.3335 0.3335 0.0000
As: 0.5000 0.5000 0.0000
As: 0.6665 0.6665 0.0000
O: 0.0976 0.0976 0.0000
O: 0.9024 0.9024 0.0000

energy relative to the elements, uncorrected = -1687 meV/atom

***

CaSbRu4: optimized geometry, PBE.

a b c (Å): 5.2781 5.2781 5.2781
angles (deg): 60.00 60.00 60.00
Sites, in units of the cell vectors:
Ca: 0.0000 0.0000 0.0000
Sb: 0.2500 0.2500 0.2500
Ru: 0.1275 0.6242 0.6242
Ru: 0.6242 0.1275 0.6242
Ru: 0.6242 0.6242 0.1275
Ru: 0.6242 0.6242 0.6242

energy relative to the elements, uncorrected = 238 meV/atom

***

LiAcGaPb: optimized geometry, PBE.

a b c (Å): 7.6642 7.6642 7.6642
angles (deg): 90.00 90.00 90.00
Sites, in units of the cell vectors:
Li: 0.0000 0.0000 0.0000
Li: 0.0000 0.5000 0.5000
Li: 0.5000 0.0000 0.5000
Li: 0.5000 0.5000 0.0000
Ac: 0.0000 0.0000 0.5000
Ac: 0.0000 0.5000 0.0000
Ac: 0.5000 0.0000 0.0000
Ac: 0.5000 0.5000 0.5000
Ga: 0.2500 0.2500 0.2500
Ga: 0.2500 0.7500 0.7500
Ga: 0.7500 0.2500 0.7500
Ga: 0.7500 0.7500 0.2500
Pb: 0.2500 0.2500 0.7500
Pb: 0.2500 0.7500 0.2500
Pb: 0.7500 0.2500 0.2500
Pb: 0.7500 0.7500 0.7500

formation energy = -0.31 eV/atom

***

Tl2SnRuAu: optimized geometry, PBE.

a b c (Å): 5.4339 5.4339 5.2819
angles (deg): 90.00 90.00 90.00
Sites, in units of the cell vectors:
Tl: 0.0000 0.5000 0.0000
Tl: 0.5000 0.0000 0.0000
Sn: 0.0000 0.0000 0.5000
Ru: 0.5000 0.5000 0.5000
Au: 0.0000 0.0000 0.0000

formation energy = 1.08 eV/atom

***

TlTc2As: optimized geometry, PBE.

a b c (Å): 6.5230 6.5230 6.5230
angles (deg): 90.00 90.00 90.00
Sites, in units of the cell vectors:
Tl: 0.0000 0.0000 0.0000
Tl: 0.0000 0.5000 0.5000
Tl: 0.5000 0.0000 0.5000
Tl: 0.5000 0.5000 0.0000
Tc: 0.0000 0.0000 0.5000
Tc: 0.0000 0.5000 0.0000
Tc: 0.2500 0.2500 0.7500
Tc: 0.2500 0.7500 0.2500
Tc: 0.5000 0.0000 0.0000
Tc: 0.5000 0.5000 0.5000
Tc: 0.7500 0.2500 0.2500
Tc: 0.7500 0.7500 0.7500
As: 0.2500 0.2500 0.2500
As: 0.2500 0.7500 0.7500
As: 0.7500 0.2500 0.7500
As: 0.7500 0.7500 0.2500

formation energy = 0.69 eV/atom

***

Pm7NiCl12: optimized geometry, PBE.

a b c (Å): 9.0874 9.0874 9.0874
angles (deg): 107.55 107.55 107.55
Sites, in units of the cell vectors:
Pm: 0.0000 0.0000 0.0000
Pm: 0.1781 0.3827 0.4727
Pm: 0.3827 0.4727 0.1781
Pm: 0.4727 0.1781 0.3827
Pm: 0.5273 0.8219 0.6173
Pm: 0.6173 0.5273 0.8219
Pm: 0.8219 0.6173 0.5273
Ni: 0.5000 0.5000 0.5000
Cl: 0.0280 0.3324 0.1174
Cl: 0.1174 0.0280 0.3324
Cl: 0.1860 0.7120 0.5779
Cl: 0.2880 0.4221 0.8140
Cl: 0.3324 0.1174 0.0280
Cl: 0.4221 0.8140 0.2880
Cl: 0.5779 0.1860 0.7120
Cl: 0.6676 0.8826 0.9720
Cl: 0.7120 0.5779 0.1860
Cl: 0.8140 0.2880 0.4221
Cl: 0.8826 0.9720 0.6676
Cl: 0.9720 0.6676 0.8826

energy relative to the elements, uncorrected = -1880 meV/atom

***

LiBe2Ag: optimized geometry, PBE.

a b c (Å): 2.9570 2.9570 5.4775
angles (deg): 90.00 90.00 90.00
Sites, in units of the cell vectors:
Li: 0.0000 0.0000 0.0000
Be: 0.5000 0.5000 0.2433
Be: 0.5000 0.5000 0.7567
Ag: 0.0000 0.0000 0.5000

formation energy = 0.21 eV/atom

***

SrTb2SmS4: optimized geometry, PBE.

a b c (Å): 6.9749 3.9958 6.9797
angles (deg): 90.00 109.06 90.00
Sites, in units of the cell vectors:
Sr: 0.0000 0.0000 0.0000
Tb: 0.0000 0.5000 0.5000
Tb: 0.5000 0.0000 0.5000
Sm: 0.5000 0.5000 0.0000
S: 0.2501 0.0000 0.7394
S: 0.2593 0.5000 0.2647
S: 0.7407 0.5000 0.7353
S: 0.7499 0.0000 0.2606

energy relative to the elements, uncorrected = -2017 meV/atom

***

Sm6Ho2Er3In: optimized geometry, PBE.

a b c (Å): 6.1442 6.1442 11.6965
angles (deg): 95.05 95.05 120.09
Sites, in units of the cell vectors:
Sm: 0.0824 0.4106 0.7483
Sm: 0.2454 0.2454 0.2504
Sm: 0.4106 0.0824 0.7483
Sm: 0.5894 0.9176 0.2517
Sm: 0.7546 0.7546 0.7496
Sm: 0.9176 0.5894 0.2517
Ho: 0.3338 0.6662 0.5000
Ho: 0.6662 0.3338 0.5000
Er: 0.1675 0.8325 0.0000
Er: 0.5000 0.5000 0.0000
Er: 0.8325 0.1675 0.0000
In: 0.0000 0.0000 0.5000

formation energy = -0.04 eV/atom

***

LaTlNi: optimized geometry, PBE.

a b c (Å): 3.8401 17.4346 4.3690
angles (deg): 90.00 90.00 90.00
Sites, in units of the cell vectors:
La: 0.0000 0.0885 0.2500
La: 0.0000 0.9115 0.7500
La: 0.5000 0.4115 0.7500
La: 0.5000 0.5885 0.2500
Tl: 0.0000 0.2960 0.2500
Tl: 0.0000 0.7040 0.7500
Tl: 0.5000 0.2040 0.7500
Tl: 0.5000 0.7960 0.2500
Ni: 0.0000 0.4600 0.2500
Ni: 0.0000 0.5400 0.7500
Ni: 0.5000 0.0400 0.7500
Ni: 0.5000 0.9600 0.2500

formation energy = -0.35 eV/atom

***

Ce6PSe5: optimized geometry, PBE.

a b c (Å): 7.2471 7.2471 7.2444
angles (deg): 99.61 99.61 120.00
Sites, in units of the cell vectors:
Ce: 0.0809 0.4048 0.7431
Ce: 0.2420 0.2420 0.2551
Ce: 0.4048 0.0809 0.7431
Ce: 0.5952 0.9191 0.2569
Ce: 0.7580 0.7580 0.7449
Ce: 0.9191 0.5952 0.2569
P: 0.0000 0.0000 0.5000
Se: 0.1697 0.8303 0.0000
Se: 0.3338 0.6662 0.5000
Se: 0.5000 0.5000 0.0000
Se: 0.6662 0.3338 0.5000
Se: 0.8303 0.1697 0.0000

energy relative to the elements, uncorrected = -1783 meV/atom

***

LaAl2Se: optimized geometry, PBE.

a b c (Å): 4.3212 4.3212 4.8414
angles (deg): 90.00 90.00 90.00
Sites, in units of the cell vectors:
La: 0.0000 0.0000 0.0000
Al: 0.0000 0.5000 0.5000
Al: 0.5000 0.0000 0.5000
Se: 0.5000 0.5000 0.0000

energy relative to the elements, uncorrected = -577 meV/atom

***

Record-wise calculated density values, in g/cm³: 7.19; 9.04; 7.54; 8.79; 11.37; 4.04; 4.61; 6.18; 8.16; 9.13; 6.77; 4.99